(1)
The following is a PBE calculation of AlCuC after structural relaxation, from the Alexandria database.

Unit cell a=6.1054 b=3.2792 c=6.2498 alpha=90.00 beta=90.00 gamma=90.00
With the nearest neighbours (Å) after each atom.
Element x y z (fractional)
Al: 0.0114 0.2500 0.1687  3 C 2.07-2.09
Al: 0.4886 0.7500 0.6687  3 C 2.07-2.09
Al: 0.5114 0.2500 0.3313  3 C 2.07-2.09
Al: 0.9886 0.7500 0.8313  3 C 2.07-2.09
Cu: 0.1454 0.2500 0.5528  3 C 2.12-2.17
Cu: 0.3546 0.7500 0.0528  3 C 2.12-2.17
Cu: 0.6454 0.2500 0.9472  3 C 2.12-2.17
Cu: 0.8546 0.7500 0.4472  3 C 2.12-2.17
C: 0.1934 0.2500 0.8889  3 Al 2.07-2.09, 3 Cu 2.12-2.17
C: 0.3066 0.7500 0.3889  3 Al 2.07-2.09, 3 Cu 2.12-2.17
C: 0.6934 0.2500 0.6111  3 Al 2.07-2.09, 3 Cu 2.12-2.17
C: 0.8066 0.7500 0.1111  3 Al 2.07-2.09, 3 Cu 2.12-2.17

energy relative to the elements = 0.49 eV/atom
DFT total energy = -62.3 eV for the cell shown
DOS(E_F) = 0.56 states/eV/cell

(2)
The following is a PBE calculation of AlCuC after structural relaxation, from the Alexandria database.

Unit cell a=4.2633 b=4.2633 c=7.3433 alpha=90.00 beta=90.00 gamma=120.00
With the nearest neighbours (Å) after each atom.
Element x y z (fractional)
Al: 0.0000 0.0000 0.2500  2 C 1.84
Al: 0.0000 0.0000 0.7500  2 C 1.84
Cu: 0.3333 0.6667 0.2500  3 Al 2.46
Cu: 0.6667 0.3333 0.7500  3 Al 2.46
C: 0.0000 0.0000 0.0000  2 Al 1.84
C: 0.0000 0.0000 0.5000  2 Al 1.84

energy relative to the elements = 1.62 eV/atom
DFT total energy = -24.4 eV for the cell shown
DOS(E_F) = 2.92 states/eV/cell

(3)
The following is a PBE calculation of AlCuC after structural relaxation, from the Alexandria database.

Unit cell a=2.9496 b=4.2171 c=6.1057 alpha=89.85 beta=76.29 gamma=89.99
With the nearest neighbours (Å) after each atom.
Element x y z (fractional)
Al: 0.0000 0.0000 0.0000  2 C 2.12-2.14
Al: 0.3380 0.4975 0.3387  4 C 2.05
Cu: 0.5601 0.5017 0.8792  2 Cu 2.45, 5 Al 2.67-2.73
Cu: 0.6624 0.0030 0.6678  2 C 2.06-2.07
C: 0.8371 0.8345 0.3405  1 C 1.37
C: 0.8377 0.1601 0.3393  1 C 1.37

energy relative to the elements = 0.35 eV/atom
DFT total energy = -32.0 eV for the cell shown
DOS(E_F) = 1.42 states/eV/cell

(4)
The following is a PBE calculation of AlCuC after structural relaxation, from the Alexandria database.

Unit cell a=3.7646 b=3.7646 c=4.8332 alpha=90.00 beta=90.00 gamma=93.73
With the nearest neighbours (Å) after each atom.
Element x y z (fractional)
Al: 0.2500 0.2500 0.0000  4 C 2.08
Al: 0.7500 0.7500 0.0000  4 C 2.08
Cu: 0.0000 0.5000 0.5000  2 C 2.01
Cu: 0.5000 0.0000 0.5000  2 C 2.01
C: 0.2500 0.7500 0.8192  2 Cu 2.01, 4 Al 2.08
C: 0.7500 0.2500 0.1808  2 Cu 2.01, 4 Al 2.08

energy relative to the elements = 0.19 eV/atom
DFT total energy = -33.0 eV for the cell shown
DOS(E_F) = 0.01 states/eV/cell

(5)
The following is a PBE calculation of AlCuC after structural relaxation, from the Alexandria database.

Unit cell a=3.4465 b=4.9744 c=4.9472 alpha=90.00 beta=110.30 gamma=90.00
With the nearest neighbours (Å) after each atom.
Element x y z (fractional)
Al: 0.2301 0.0000 0.4604  3 C 1.99
Al: 0.7699 0.5000 0.5396  3 C 1.99
Cu: 0.4936 0.6072 0.9880  2 C 1.95-1.97
Cu: 0.5064 0.1072 0.0120  2 C 1.95-1.97
C: 0.3370 0.3465 0.6743  2 Cu 1.95-1.97, 3 Al 1.99
C: 0.6630 0.8465 0.3257  2 Cu 1.95-1.97, 3 Al 1.99

energy relative to the elements = 0.20 eV/atom
DFT total energy = -32.9 eV for the cell shown
DOS(E_F) = 1.18 states/eV/cell

(6)
The following is a PBE calculation of AlCuC2 after structural relaxation, from the Alexandria database.

Unit cell a=6.5434 b=6.5434 c=6.5434 alpha=146.23 beta=146.23 gamma=48.51
With the nearest neighbours (Å) after each atom.
Element x y z (fractional)
Al: 0.0000 0.0000 0.0000  4 C 2.08
Al: 0.7500 0.2500 0.5000  4 C 2.08
Cu: 0.2500 0.7500 0.5000  4 C 1.94
Cu: 0.5000 0.5000 0.0000  4 C 1.94
C: 0.1639 0.6250 0.0389  2 Cu 1.94, 2 Al 2.08
C: 0.3750 0.4139 0.5389  2 Cu 1.94, 2 Al 2.08
C: 0.5861 0.1250 0.9611  2 Cu 1.94, 2 Al 2.08
C: 0.8750 0.8361 0.4611  2 Cu 1.94, 2 Al 2.08

energy relative to the elements = 1.15 eV/atom
DFT total energy = -43.4 eV for the cell shown
DOS(E_F) = 0.77 states/eV/cell

(7)
The following is a PBE calculation of AlCuC after structural relaxation, from the Alexandria database.

Unit cell a=3.3793 b=3.3793 c=7.2855 alpha=90.00 beta=90.00 gamma=120.00
With the nearest neighbours (Å) after each atom.
Element x y z (fractional)
Al: 0.3333 0.6667 0.2500  3 C 1.95
Al: 0.6667 0.3333 0.7500  3 C 1.95
Cu: 0.0000 0.0000 0.0000  6 Al 2.67, 6 C 2.67
Cu: 0.0000 0.0000 0.5000  6 C 2.67, 6 Al 2.67
C: 0.3333 0.6667 0.7500  3 Al 1.95
C: 0.6667 0.3333 0.2500  3 Al 1.95

energy relative to the elements = 0.64 eV/atom
DFT total energy = -30.3 eV for the cell shown
DOS(E_F) = 0.09 states/eV/cell

(8)
The following is a PBE calculation of AlCuC after structural relaxation, from the Alexandria database.

Unit cell a=3.0581 b=4.6279 c=5.7404 alpha=108.95 beta=105.15 gamma=90.26
With the nearest neighbours (Å) after each atom.
Element x y z (fractional)
Al: 0.1244 0.2821 0.2556  2 C 2.03
Al: 0.8756 0.7179 0.7444  2 C 2.03
Cu: 0.3291 0.1673 0.6597  2 C 2.10-2.12
Cu: 0.6709 0.8327 0.3403  2 C 2.10-2.12
C: 0.4701 0.6072 0.9376  1 C 1.39
C: 0.5299 0.3928 0.0624  1 C 1.39

energy relative to the elements = 0.37 eV/atom
DFT total energy = -31.9 eV for the cell shown
DOS(E_F) = 0.77 states/eV/cell

(9)
The following is a PBE calculation of AlCuC after structural relaxation, from the Alexandria database.

Unit cell a=5.1604 b=5.1604 c=5.1604 alpha=106.70 beta=82.97 gamma=146.62
With the nearest neighbours (Å) after each atom.
Element x y z (fractional)
Al: 0.5000 0.0000 0.0000  2 C 2.01
Al: 0.5000 0.5000 0.5000  2 C 2.01
Cu: 0.0000 0.0000 0.0000  2 C 2.01
Cu: 0.5000 0.0000 0.5000  2 C 2.01
C: 0.0621 0.8121 0.2500  2 Cu 2.01, 2 Al 2.01
C: 0.9379 0.1879 0.7500  2 Cu 2.01, 2 Al 2.01

energy relative to the elements = 0.50 eV/atom
DFT total energy = -31.1 eV for the cell shown
DOS(E_F) = 1.91 states/eV/cell

(10)
The following is a PBE calculation of AlCuC after structural relaxation, from the Alexandria database.

Unit cell a=3.1767 b=4.4100 c=5.6661 alpha=111.49 beta=90.17 gamma=110.81
With the nearest neighbours (Å) after each atom.
Element x y z (fractional)
Al: 0.1489 0.3016 0.2922  3 C 2.09-2.11
Al: 0.8511 0.6984 0.7078  3 C 2.09-2.11
Cu: 0.3776 0.7566 0.0896  2 C 2.15-2.36
Cu: 0.6224 0.2434 0.9104  2 C 2.15-2.36
C: 0.4263 0.8452 0.5275  1 C 1.43
C: 0.5737 0.1548 0.4725  1 C 1.43

energy relative to the elements = 0.25 eV/atom
DFT total energy = -32.6 eV for the cell shown
DOS(E_F) = 1.18 states/eV/cell

(11)
The following is a PBE calculation of AlCuC after structural relaxation, from the Alexandria database.

Unit cell a=3.6885 b=3.6885 c=5.4544 alpha=90.00 beta=90.00 gamma=90.00
With the nearest neighbours (Å) after each atom.
Element x y z (fractional)
Al: 0.2500 0.7500 0.0000  4 C 2.03
Al: 0.7500 0.2500 0.0000  4 C 2.03
Cu: 0.2500 0.2500 0.4924  1 C 1.91
Cu: 0.7500 0.7500 0.5076  1 C 1.91
C: 0.2500 0.2500 0.8429  1 Cu 1.91, 4 Al 2.03
C: 0.7500 0.7500 0.1571  1 Cu 1.91, 4 Al 2.03

energy relative to the elements = 0.44 eV/atom
DFT total energy = -31.5 eV for the cell shown
DOS(E_F) = 0.00 states/eV/cell

(12)
The following is a PBE calculation of AlCuC after structural relaxation, from the Alexandria database.

Unit cell a=2.9252 b=4.2371 c=6.2247 alpha=86.99 beta=76.67 gamma=89.92
With the nearest neighbours (Å) after each atom.
Element x y z (fractional)
Al: 0.0000 0.0000 0.0000  6 Cu 2.48-2.71
Al: 0.2403 0.8285 0.5224  4 C 2.05-2.08
Cu: 0.5573 0.5208 0.8829  1 C 2.06
Cu: 0.8927 0.4815 0.2142  1 C 2.00
C: 0.7293 0.4789 0.5452  1 C 1.34
C: 0.7380 0.1659 0.5268  1 C 1.34

energy relative to the elements = 0.38 eV/atom
DFT total energy = -31.9 eV for the cell shown
DOS(E_F) = 1.88 states/eV/cell

(13)
The following is a PBE calculation of AlCuC after structural relaxation, from the Alexandria database.

Unit cell a=7.2157 b=3.4334 c=5.1849 alpha=90.00 beta=90.00 gamma=90.00
With the nearest neighbours (Å) after each atom.
Element x y z (fractional)
Al: 0.1344 0.2500 0.0776  4 C 2.07-2.12
Al: 0.3656 0.7500 0.5776  4 C 2.07-2.12
Al: 0.6344 0.2500 0.4224  4 C 2.07-2.12
Al: 0.8656 0.7500 0.9224  4 C 2.07-2.12
Cu: 0.1041 0.2500 0.5938  3 C 2.15-2.23
Cu: 0.3959 0.7500 0.0938  3 C 2.15-2.23
Cu: 0.6041 0.2500 0.9062  3 C 2.15-2.23
Cu: 0.8959 0.7500 0.4062  3 C 2.15-2.23
C: 0.1471 0.7500 0.8377  4 Al 2.07-2.12, 3 Cu 2.15-2.23
C: 0.3529 0.2500 0.3377  4 Al 2.07-2.12, 3 Cu 2.15-2.23
C: 0.6471 0.7500 0.6623  4 Al 2.07-2.12, 3 Cu 2.15-2.23
C: 0.8529 0.2500 0.1623  4 Al 2.07-2.12, 3 Cu 2.15-2.23

energy relative to the elements = 0.30 eV/atom
DFT total energy = -64.6 eV for the cell shown
DOS(E_F) = 0.00 states/eV/cell